Here is LiCrNi2 after structural relaxation from the Alexandria database. Energies are from PBE. Values from VASP.

Quantum ESPRESSO input file:
```
&SYSTEM
  ibrav = 0, nat = 4, ntyp = 3
/
ATOMIC_SPECIES
Li 6.94 Li.upf
Cr 52.00 Cr.upf
Ni 58.69 Ni.upf
CELL_PARAMETERS angstrom
1.399 -1.965 0.000
1.399 1.965 0.000
0.000 0.000 8.392
ATOMIC_POSITIONS angstrom
Li 0.000 0.000 0.000
Cr 1.399 0.000 6.029
Ni 0.000 0.000 4.058
Ni 1.399 0.000 2.056
```

## Properties
Energy above the most stable polymorph in this dataset: 0.1319 eV per atom
VASP energy: -5.606 eV/atom
DOS at the Fermi energy: 4.06 states/eV per cell
Formation energy: 0.1685 eV/atom



Here is LiCr4Ni after structural relaxation from the Alexandria database. Energies are from PBE. Values from VASP.

Quantum ESPRESSO input file:
```
&SYSTEM
  ibrav = 0, nat = 6, ntyp = 3
/
ATOMIC_SPECIES
Li 6.94 Li.upf
Cr 52.00 Cr.upf
Ni 58.69 Ni.upf
CELL_PARAMETERS angstrom
0.000 3.321 3.321
3.321 0.000 3.321
3.321 3.321 0.000
ATOMIC_POSITIONS angstrom
Li 0.000 0.000 0.000
Cr 2.480 2.480 2.480
Cr 4.163 4.163 2.480
Cr 4.163 2.480 4.163
Cr 2.480 4.163 4.163
Ni 4.982 4.982 4.982
```

## Properties
VASP energy: -7.285 eV/atom
DOS at the Fermi energy: 4.75 states/eV per cell
Formation energy: 0.4136 eV/atom



Here is Li2CrNi after structural relaxation from the Alexandria database. Energies are from PBE. Values from VASP.

Quantum ESPRESSO input file:
```
&SYSTEM
  ibrav = 0, nat = 4, ntyp = 3
/
ATOMIC_SPECIES
Li 6.94 Li.upf
Cr 52.00 Cr.upf
Ni 58.69 Ni.upf
CELL_PARAMETERS angstrom
3.533 0.000 0.000
0.000 3.533 0.000
0.000 0.000 4.311
ATOMIC_POSITIONS angstrom
Li 0.000 1.767 0.000
Li 1.767 0.000 0.000
Cr 0.000 0.000 2.155
Ni 1.767 1.767 2.155
```

## Properties
Energy above the most stable polymorph in this dataset: 0.0832 eV per atom
VASP energy: -4.511 eV/atom
DOS at the Fermi energy: 2.61 states/eV per cell
Formation energy: 0.2975 eV/atom



Q: Among the records above, which one has the lowest VASP energy?
A: LiCr4Ni



Q: Number 2 is which compound?
A: LiCr4Ni



Q: Among the records above, which one has the highest DOS at the Fermi energy?
A: LiCr4Ni



Q: The lowest DOS at the Fermi energy belongs to which entry?
A: Li2CrNi